First-principles (PBE+U) data for a geometry-optimized LaMnO3 structure, as listed in Alexandria via LeMat-Bulk.

Total energy: -7.41 eV per atom
Crystal system: tetragonal
SG: I-4m2, No. 119
Density of states at the Fermi level: 0.9 states/eV per cell

```
10
Lattice="4.191 0.000 0.000 0.000 4.191 0.000 2.095 2.095 8.758" Properties=species:S:1:pos:R:3 pbc="T T T"
Mn 0.000 0.000 0.000
Mn 2.095 4.191 4.379
O 3.123 4.191 1.720
O 2.095 5.218 7.038
O 1.068 4.191 1.720
O 2.095 3.164 7.038
O 2.095 2.095 3.951
O 4.191 4.191 4.807
La 4.191 2.095 6.167
La 4.191 2.095 2.591
```